Record 1
This record from Alexandria via LeMat-Bulk describes an optimized crystal structure of ScTa2Pb. The functional is PBE.

The structure in CIF format:
```
data_ScTa2Pb
_space_group_name_H-M_alt 'C m m m'
_space_group_IT_number 65
_space_group_name_Hall '-C 2 2'
_cell_length_a 5.909
_cell_length_b 9.183
_cell_length_c 3.043
_cell_angle_alpha 90.00
_cell_angle_beta 90.00
_cell_angle_gamma 90.00
loop_
_atom_site_label
_atom_site_type_symbol
_atom_site_fract_x
_atom_site_fract_y
_atom_site_fract_z
_atom_site_occupancy
Sc1 Sc 0.000 0.000 0.000 1
Ta1 Ta 0.250 0.250 0.500 1
Pb1 Pb 0.000 0.500 0.000 1
```

Results
VASP energy = -8.098 eV per atom
Energy of formation = 0.34 eV per atom

=====

Record 2
This record from Alexandria via LeMat-Bulk describes an optimized crystal structure of HoNp2Te2S2. The functional is PBE.

The structure in CIF format:
```
data_HoNp2Te2S2
_space_group_name_H-M_alt 'I 4/m m m'
_space_group_IT_number 139
_space_group_name_Hall '-I 4 2'
_cell_length_a 5.056
_cell_length_b 5.056
_cell_length_c 15.704
_cell_angle_alpha 90.00
_cell_angle_beta 90.00
_cell_angle_gamma 90.00
loop_
_atom_site_label
_atom_site_type_symbol
_atom_site_fract_x
_atom_site_fract_y
_atom_site_fract_z
_atom_site_occupancy
Ho1 Ho 0.000 0.000 0.000 1
Np1 Np 0.000 0.000 0.387 1
Te1 Te 0.000 0.000 0.188 1
S1 S 0.000 0.500 0.000 1
```

Results
VASP energy = -7.416 eV per atom
Formation energy without anion corrections = -6.91 eV/f.u.

=====

Record 3
This record from Alexandria via LeMat-Bulk describes an optimized crystal structure of LaNd2Cu2Ge2. The functional is PBE.

The structure in CIF format:
```
data_LaNd2Cu2Ge2
_space_group_name_H-M_alt 'R -3 m'
_space_group_IT_number 166
_space_group_name_Hall '-R 3 2"'
_cell_length_a 4.3638
_cell_length_b 4.3638
_cell_length_c 29.9359
_cell_angle_alpha 90.00
_cell_angle_beta 90.00
_cell_angle_gamma 120.00
loop_
_atom_site_label
_atom_site_type_symbol
_atom_site_fract_x
_atom_site_fract_y
_atom_site_fract_z
_atom_site_occupancy
La1 La 0.0000 0.0000 0.0000 1
Nd1 Nd 0.0000 0.0000 0.1265 1
Cu1 Cu 0.0000 0.0000 0.4031 1
Ge1 Ge 0.0000 0.0000 0.2646 1
```

Results
VASP energy = -5.055 eV per atom
Energy of formation = -0.50 eV per atom

=====

Record 4
This record from Alexandria via LeMat-Bulk describes an optimized crystal structure of K3Ac2ErTe6. The functional is PBE.

The structure in CIF format:
```
data_K3Ac2ErTe6
_space_group_name_H-M_alt 'C 1 2/m 1'
_space_group_IT_number 12
_cell_length_a 8.182
_cell_length_b 14.174
_cell_length_c 8.710
_cell_angle_alpha 90.00
_cell_angle_beta 108.37
_cell_angle_gamma 90.00
loop_
_space_group_symop_operation_xyz
'x,y,z'
'-x,-y,-z'
'-x,y,-z'
'x,-y,z'
'x+1/2,y+1/2,z'
'-x+1/2,-y+1/2,-z'
'-x+1/2,y+1/2,-z'
'x+1/2,-y+1/2,z'
loop_
_atom_site_label
_atom_site_type_symbol
_atom_site_fract_x
_atom_site_fract_y
_atom_site_fract_z
_atom_site_occupancy
K1 K 0.000 0.000 0.000 1
K2 K 0.000 0.329 0.000 1
Ac1 Ac 0.000 0.166 0.500 1
Er1 Er 0.000 0.500 0.500 1
Te1 Te 0.229 0.343 0.717 1
Te2 Te 0.240 0.500 0.283 1
```

Results
VASP energy = -4.358 eV per atom
Formation energy without anion corrections = -17.37 eV/f.u.

=====

Record 5
This record from Alexandria via LeMat-Bulk describes an optimized crystal structure of TeO. The functional is PBE.

The structure in CIF format:
```
data_TeO
_space_group_name_H-M_alt 'I 4/m'
_space_group_IT_number 87
_space_group_name_Hall '-I 4'
_cell_length_a 10.634
_cell_length_b 10.634
_cell_length_c 3.162
_cell_angle_alpha 90.00
_cell_angle_beta 90.00
_cell_angle_gamma 90.00
loop_
_atom_site_label
_atom_site_type_symbol
_atom_site_fract_x
_atom_site_fract_y
_atom_site_fract_z
_atom_site_occupancy
Te1 Te 0.104 0.209 0.000 1
O1 O 0.141 0.727 0.000 1
```

Results
VASP energy = -4.407 eV per atom
Formation energy without anion corrections = -0.71 eV/f.u.
Energy above the most stable polymorph in this dataset = 0.37 eV per formula unit

=====

Record 6
This record from Alexandria via LeMat-Bulk describes an optimized crystal structure of BaInNiPd2. The functional is PBE.

The structure in CIF format:
```
data_BaInNiPd2
_space_group_name_H-M_alt 'P 4/m m m'
_space_group_IT_number 123
_space_group_name_Hall '-P 4 2'
_cell_length_a 5.342
_cell_length_b 5.342
_cell_length_c 6.483
_cell_angle_alpha 90.00
_cell_angle_beta 90.00
_cell_angle_gamma 90.00
loop_
_atom_site_label
_atom_site_type_symbol
_atom_site_fract_x
_atom_site_fract_y
_atom_site_fract_z
_atom_site_occupancy
Ba1 Ba 0.000 0.000 0.000 1
In1 In 0.000 0.000 0.500 1
Ni1 Ni 0.500 0.500 0.500 1
Pd1 Pd 0.000 0.500 0.000 1
```

Results
VASP energy = -2.721 eV per atom
Energy of formation = 1.44 eV per atom

=====

Record 7
This record from Alexandria via LeMat-Bulk describes an optimized crystal structure of SiMoCl2. The functional is PBE.

The structure in CIF format:
```
data_SiMoCl2
_space_group_name_H-M_alt 'P 4/m m m'
_space_group_IT_number 123
_space_group_name_Hall '-P 4 2'
_cell_length_a 4.217
_cell_length_b 4.217
_cell_length_c 4.217
_cell_angle_alpha 90.00
_cell_angle_beta 90.00
_cell_angle_gamma 90.00
loop_
_atom_site_label
_atom_site_type_symbol
_atom_site_fract_x
_atom_site_fract_y
_atom_site_fract_z
_atom_site_occupancy
Si1 Si 0.000 0.000 0.000 1
Mo1 Mo 0.500 0.500 0.000 1
Cl1 Cl 0.000 0.500 0.500 1
```

Results
VASP energy = -4.215 eV per atom
Formation energy without anion corrections = 3.09 eV/f.u.
Energy above the most stable polymorph in this dataset = 4.44 eV per formula unit

=====

Record 8
This record from Alexandria via LeMat-Bulk describes an optimized crystal structure of Rb3IrI8. The functional is PBE.

The structure in CIF format:
```
data_Rb3IrI8
_space_group_name_H-M_alt 'I 4/m m m'
_space_group_IT_number 139
_space_group_name_Hall '-I 4 2'
_cell_length_a 9.122
_cell_length_b 9.122
_cell_length_c 12.956
_cell_angle_alpha 90.00
_cell_angle_beta 90.00
_cell_angle_gamma 90.00
loop_
_atom_site_label
_atom_site_type_symbol
_atom_site_fract_x
_atom_site_fract_y
_atom_site_fract_z
_atom_site_occupancy
Rb1 Rb 0.000 0.000 0.000 1
Rb2 Rb 0.000 0.500 0.250 1
Ir1 Ir 0.000 0.000 0.500 1
I1 I 0.195 0.195 0.369 1
```

Results
VASP energy = -2.437 eV per atom
Formation energy without anion corrections = -5.08 eV/f.u.

=====

Record 9
This record from Alexandria via LeMat-Bulk describes an optimized crystal structure of Sr2Ca2Pb. The functional is PBE.

The structure in CIF format:
```
data_Sr2Ca2Pb
_space_group_name_H-M_alt 'P 4/m b m'
_space_group_IT_number 127
_space_group_name_Hall '-P 4 2ab'
_cell_length_a 8.410
_cell_length_b 8.410
_cell_length_c 6.125
_cell_angle_alpha 90.00
_cell_angle_beta 90.00
_cell_angle_gamma 90.00
loop_
_atom_site_label
_atom_site_type_symbol
_atom_site_fract_x
_atom_site_fract_y
_atom_site_fract_z
_atom_site_occupancy
Sr1 Sr 0.171 0.329 0.000 1
Ca1 Ca 0.151 0.651 0.500 1
Pb1 Pb 0.000 0.000 0.500 1
```

Results
VASP energy = -2.340 eV per atom
Energy above the most stable polymorph in this dataset = 0.00 eV per formula unit
Energy of formation = -0.12 eV per atom

=====

Record 10
This record from Alexandria via LeMat-Bulk describes an optimized crystal structure of DyHf4Ru5. The functional is PBE.

The structure in CIF format:
```
data_DyHf4Ru5
_space_group_name_H-M_alt 'P 4/m m m'
_space_group_IT_number 123
_space_group_name_Hall '-P 4 2'
_cell_length_a 3.263
_cell_length_b 3.263
_cell_length_c 16.504
_cell_angle_alpha 90.00
_cell_angle_beta 90.00
_cell_angle_gamma 90.00
loop_
_atom_site_label
_atom_site_type_symbol
_atom_site_fract_x
_atom_site_fract_y
_atom_site_fract_z
_atom_site_occupancy
Dy1 Dy 0.000 0.000 0.000 1
Hf1 Hf 0.000 0.000 0.203 1
Hf2 Hf 0.000 0.000 0.401 1
Ru1 Ru 0.500 0.500 0.113 1
Ru2 Ru 0.500 0.500 0.306 1
Ru3 Ru 0.500 0.500 0.500 1
```

Results
VASP energy = -9.822 eV per atom
Energy of formation = -0.74 eV per atom

=====

Record 11
This record from Alexandria via LeMat-Bulk describes an optimized crystal structure of Ce6InGa5. The functional is PBE.

The structure in CIF format:
```
data_Ce6InGa5
_space_group_name_H-M_alt 'I m m m'
_space_group_IT_number 71
_space_group_name_Hall '-I 2 2'
_cell_length_a 5.502
_cell_length_b 6.507
_cell_length_c 16.317
_cell_angle_alpha 90.00
_cell_angle_beta 90.00
_cell_angle_gamma 90.00
loop_
_atom_site_label
_atom_site_type_symbol
_atom_site_fract_x
_atom_site_fract_y
_atom_site_fract_z
_atom_site_occupancy
Ce1 Ce 0.000 0.210 0.000 1
Ce2 Ce 0.000 0.276 0.326 1
In1 In 0.000 0.000 0.500 1
Ga1 Ga 0.000 0.000 0.170 1
Ga2 Ga 0.000 0.500 0.155 1
Ga3 Ga 0.000 0.500 0.500 1
```

Results
VASP energy = -4.884 eV per atom
Energy of formation = -0.43 eV per atom

=====

Record 12
This record from Alexandria via LeMat-Bulk describes an optimized crystal structure of Sr2CaTi3O9. The functional is PBE.

The structure in CIF format:
```
data_Sr2CaTi3O9
_space_group_name_H-M_alt 'P 4/m m m'
_space_group_IT_number 123
_space_group_name_Hall '-P 4 2'
_cell_length_a 3.926
_cell_length_b 3.926
_cell_length_c 11.774
_cell_angle_alpha 90.00
_cell_angle_beta 90.00
_cell_angle_gamma 90.00
loop_
_atom_site_label
_atom_site_type_symbol
_atom_site_fract_x
_atom_site_fract_y
_atom_site_fract_z
_atom_site_occupancy
Sr1 Sr 0.000 0.000 0.168 1
Ca1 Ca 0.000 0.000 0.500 1
Ti1 Ti 0.500 0.500 0.000 1
Ti2 Ti 0.500 0.500 0.336 1
O1 O 0.000 0.500 0.000 1
O2 O 0.000 0.500 0.338 1
O3 O 0.500 0.500 0.168 1
O4 O 0.500 0.500 0.500 1
```

Results
VASP energy = -8.025 eV per atom
Formation energy without anion corrections = -46.70 eV/f.u.
Energy above the most stable polymorph in this dataset = 0.21 eV per formula unit

=====

> Among the records above, which one has the highest VASP energy?

Sr2Ca2Pb